(1)
The following is a PBE calculation of a relaxed structure of Al2ZnIr2, from Alexandria via LeMat-Bulk.

Unit cell a=7.2247 b=7.2247 c=2.8477 alpha=90.00 beta=90.00 gamma=90.00
Fractional coordinates of all 10 atoms:
Al 0.8643 0.6357 0.0000
Al 0.6357 0.1357 0.0000
Al 0.1357 0.3643 0.0000
Al 0.3643 0.8643 0.0000
Ir 0.6607 0.8393 0.5000
Ir 0.1607 0.6607 0.5000
Ir 0.3393 0.1607 0.5000
Ir 0.8393 0.3393 0.5000
Zn 0.0000 0.0000 0.0000
Zn 0.5000 0.5000 0.0000

Summary:
Energy relative to the elements, eV per atom: -0.570

(2)
The following is a PBE calculation of a relaxed structure of Sb2WAu, from Alexandria via LeMat-Bulk.

Unit cell a=4.7847 b=4.7847 c=3.5192 alpha=90.00 beta=90.00 gamma=90.05
Fractional coordinates of all 4 atoms:
W 0.5000 0.0000 0.5000
Sb 0.5000 0.5000 0.0000
Sb 0.0000 0.0000 0.0000
Au 0.0000 0.5000 0.5000

Summary:
Formation energy from raw total energies, kJ/mol of atoms: 57

(3)
The following is a PBE calculation of a relaxed structure of Ca2LaBe, from Alexandria via LeMat-Bulk.

Unit cell a=10.7947 b=10.7947 c=10.7947 alpha=20.24 beta=20.24 gamma=20.24
Fractional coordinates of all 4 atoms:
La 0.2500 0.2500 0.2500
Be 0.7500 0.7500 0.7500
Ca 0.4788 0.4788 0.4788
Ca 0.0212 0.0212 0.0212

Summary:
Energy relative to the elements, eV per atom: 0.369

(4)
The following is a PBE calculation of a relaxed structure of K4PrU3O12, from Alexandria via LeMat-Bulk.

Unit cell a=7.5752 b=7.5752 c=7.5752 alpha=109.47 beta=109.47 gamma=109.47
Site moments in Bohr magnetons follow the coordinates.
Fractional coordinates of all 20 atoms:
K 0.5000 0.0000 0.0000  0.00
K 0.0000 0.0000 0.5000  0.00
K 0.5000 0.5000 0.5000  0.00
K 0.0000 0.5000 0.0000  0.00
O 0.7500 0.2500 0.5000  -0.01
O 0.0000 0.2704 0.2704  -0.01
O 0.7296 0.7296 0.0000  -0.01
O 0.0000 0.7296 0.7296  -0.01
O 0.5000 0.7500 0.2500  -0.01
O 0.7296 0.0000 0.7296  -0.01
O 0.7500 0.5000 0.2500  -0.01
O 0.2500 0.5000 0.7500  -0.01
O 0.2704 0.0000 0.2704  -0.01
O 0.5000 0.2500 0.7500  -0.01
O 0.2500 0.7500 0.5000  -0.01
O 0.2704 0.2704 0.0000  -0.01
U 0.0000 0.5000 0.5000  0.37
U 0.5000 0.0000 0.5000  0.37
U 0.5000 0.5000 0.0000  0.37
Pr 0.0000 0.0000 0.0000  0.00

Summary:
Formation energy from raw total energies, kJ/mol of atoms: -279

(5)
The following is a PBE calculation of a relaxed structure of Tb2Dy3TmBi6, from Alexandria via LeMat-Bulk.

Unit cell a=4.4703 b=8.9423 c=9.9951 alpha=102.86 beta=102.92 gamma=90.00
Fractional coordinates of all 12 atoms:
Dy 0.8327 0.1668 0.6654
Dy 0.1673 0.8332 0.3346
Dy 0.5000 0.5000 0.0000
Tb 0.8336 0.6672 0.6672
Tb 0.1664 0.3328 0.3328
Bi 0.0006 0.7526 0.0012
Bi 0.3335 0.4164 0.6671
Bi 0.3344 0.9184 0.6687
Bi 0.6656 0.0816 0.3313
Bi 0.9994 0.2474 0.9988
Bi 0.6665 0.5836 0.3329
Tm 0.5000 0.0000 0.0000

Summary:
Energy relative to the elements, eV per atom: -0.853

(6)
The following is a PBE calculation of a relaxed structure of Pr3Dy8Pu, from Alexandria via LeMat-Bulk.

Unit cell a=8.3923 b=8.3923 c=8.3923 alpha=94.67 beta=117.34 gamma=117.34
Site moments in Bohr magnetons follow the coordinates.
Fractional coordinates of all 12 atoms:
Dy 0.4585 0.1965 0.1965  0.06
Dy 0.0000 0.2620 0.8035  0.06
Dy 0.0000 0.8932 0.6427  -0.05
Dy 0.5415 0.7380 0.7380  0.06
Dy 0.2505 0.3573 0.3573  -0.05
Dy 0.0000 0.6427 0.8932  -0.05
Dy 0.0000 0.8035 0.2620  0.06
Dy 0.7495 0.1068 0.1068  -0.05
Pr 0.5000 0.2500 0.7500  -0.26
Pr 0.0000 0.5000 0.5000  -0.16
Pr 0.5000 0.7500 0.2500  -0.26
Pu 0.0000 0.0000 0.0000  5.54

Summary:
Energy relative to the elements, eV per atom: 0.555

| no. | N(E_F) (states/eV/cell) |
| --- | --- |
| 1 | 2.6 |
| 2 | 2.9 |
| 3 | 4.8 |
| 4 | 8.5 |
| 5 | 2.0 |
| 6 | 16.5 |